Entry from Alexandria: a PBEsol-optimized structure of LaOsCl2 (meta-GGA SCAN).

Summary:
* volume: 22.15 Å³ per atom
* DOS(E_F): 0.552 states/eV per atom
* raw formation energy: -368.7 meV/atom
* relative energy among the computed polymorphs: 1.70 eV per formula unit

Cell and atoms, written as POSCAR:
```
LaOsCl2
1.0
3.2608 0.0000 0.0000
0.0000 3.2608 0.0000
0.0000 0.0000 8.3313
Cl Os La
2 1 1
Direct
0.0000 0.0000 0.9275 Cl
0.5000 0.5000 0.2939 Cl
0.5000 0.5000 0.7637 Os
0.0000 0.0000 0.5148 La
```